[1]
A plane-wave DFT calculation with PBE was carried out for an optimized crystal structure of K2TlRhF6.

- Fermi-level density of states: 0.000 states/eV/atom
- Formation energy from raw total energies: -2.12 eV per atom
- Polymorph energy (0 for the lowest one): 0.27 eV per formula unit
- Theoretical density: 4.308 g/cm³

Lattice parameters (Å, degrees): 9.1661 9.1661 9.1661 90.00 90.00 90.00
Last column: nearest neighbours and their distance in Å.
Space group Fm-3m (No. 225)
Symmetry-distinct sites (fractional):
1 K 0.2500 0.2500 0.2500 (multiplicity 8)  12 F 3.25
2 Tl 0.0000 0.0000 0.0000 (multiplicity 4)  6 F 2.57
3 Rh 0.0000 0.0000 0.5000 (multiplicity 4)  6 F 2.02
4 F 0.0000 0.0000 0.2799 (multiplicity 24)  1 Rh 2.02

***

[2]
A plane-wave DFT calculation with PBE was carried out for an optimized crystal structure of K2TlRhF6.

- Formation energy from raw total energies: -2.15 eV per atom
- Polymorph energy (0 for the lowest one): 0.00 eV per formula unit
- Theoretical density: 4.224 g/cm³

Lattice parameters (Å, degrees): 6.0197 9.0349 7.2202 90.00 90.00 90.00
Last column: nearest neighbours and their distance in Å.
Space group Pmmn (No. 59, origin choice 2)
Symmetry-distinct sites (fractional):
1 K 0.2500 0.0395 0.1761 (multiplicity 4)  5 F 2.68-2.85
2 Tl 0.2500 0.2500 0.6804 (multiplicity 2)  6 F 2.67-2.73
3 Rh 0.2500 0.7500 0.8125 (multiplicity 2)  6 F 2.02-2.03
4 F 0.0058 0.7500 0.6215 (multiplicity 4)  1 Rh 2.02
5 F 0.0144 0.7500 0.0129 (multiplicity 4)  1 Rh 2.03
6 F 0.2500 0.5262 0.8145 (multiplicity 4)  1 Rh 2.02